Density functional theory data (PBE-GGA) for a relaxed structure of Mg6SnHg3.

```
data_Mg6SnHg3
_chemical_formula_sum 'Mg12 Sn2 Hg6'
_space_group_name_H-M_alt 'P 1 21/m 1'
_space_group_IT_number 11
_space_group_name_Hall '-P 2yb'
_cell_length_a 8.949
_cell_length_b 4.766
_cell_length_c 10.617
_cell_angle_alpha 90.00
_cell_angle_beta 101.26
_cell_angle_gamma 90.00
loop_
_atom_site_label
_atom_site_type_symbol
_atom_site_fract_x
_atom_site_fract_y
_atom_site_fract_z
_atom_site_occupancy
Mg1 Mg 0.051 0.250 0.410 1
Mg2 Mg 0.136 0.750 0.175 1
Mg3 Mg 0.239 0.250 0.983 1
Mg4 Mg 0.322 0.750 0.781 1
Mg5 Mg 0.352 0.250 0.288 1
Mg6 Mg 0.415 0.250 0.588 1
Sn1 Sn 0.455 0.750 0.122 1
Hg1 Hg 0.036 0.750 0.884 1
Hg2 Hg 0.131 0.250 0.691 1
Hg3 Hg 0.268 0.750 0.458 1
```

- distance to the lowest polymorph of the same formula (eV/atom) = 0.000
- energy relative to the elements (meV/atom) = -173
- total energy (eV per formula unit) = -16.21
- total magnetization (μB per formula unit) = 0.0
- V (Å³/f.u.) = 222